VASP calculation (PBE-GGA) on a geometry-optimized CsHg12Pb6 structure.

```
CsHg12Pb6
1.0
8.238 0.000 2.641
-4.074 7.535 3.262
0.090 0.000 9.165
Pb Hg Cs
6 12 1
Direct
0.527 0.506 0.798 Pb
0.979 0.304 0.494 Pb
0.473 0.494 0.202 Pb
0.325 0.798 0.696 Pb
0.675 0.202 0.304 Pb
0.021 0.696 0.506 Pb
0.195 0.079 0.534 Hg
0.116 0.387 0.079 Hg
0.338 0.113 0.158 Hg
0.271 0.466 0.613 Hg
0.225 0.729 0.113 Hg
0.884 0.613 0.921 Hg
0.805 0.921 0.466 Hg
0.662 0.887 0.842 Hg
0.504 0.842 0.271 Hg
0.729 0.534 0.387 Hg
0.496 0.158 0.729 Hg
0.775 0.271 0.887 Hg
0.000 0.000 0.000 Cs
```

## Properties
The value obtained for the energy of formation from the pure elements is -0.26 eV/f.u. The uncorrected energy is -27.0 eV for the cell shown. The calculation puts the calculated density at 11.1 g cm⁻³. The space group is R-3, No. 148. As for the calculated volume: 567 Å³ per cell.

VASP calculation (PBE-GGA) on a geometry-optimized CsHg3Pb structure.

```
CsHg3Pb
1.0
-4.547 4.385 -2.577
-0.864 -4.205 -5.623
-5.249 -3.769 2.845
Cs Pb Hg
2 2 6
Direct
0.876 0.020 0.107 Cs
0.375 0.333 0.795 Cs
0.626 0.511 0.285 Pb
0.126 0.842 0.617 Pb
0.126 0.529 0.304 Hg
0.868 0.541 0.888 Hg
0.883 0.239 0.586 Hg
0.384 0.114 0.315 Hg
0.626 0.823 0.598 Hg
0.368 0.812 0.014 Hg
```

## Properties
For the relative energy among the computed polymorphs, the calculation gives 0.015 eV/atom. The value obtained for the energy of formation from the pure elements is -0.74 eV/f.u. The uncorrected energy is -12.4 eV for the cell shown. The calculation puts the calculated density at 9.2 g cm⁻³. The space group is P2_1, No. 4. As for the calculated volume: 339 Å³ per cell.

VASP calculation (PBE-GGA) on a geometry-optimized Cs16HgPb12 structure.

```
Cs16HgPb12
1.0
-4.167 8.619 7.598
-8.725 -2.184 -8.275
1.840 -10.030 6.298
Cs Pb Hg
16 12 1
Direct
0.991 0.675 0.999 Cs
0.295 0.704 0.276 Cs
0.439 0.987 0.684 Cs
0.704 0.295 0.276 Cs
0.987 0.439 0.684 Cs
0.277 0.550 0.561 Cs
0.700 0.998 0.441 Cs
0.991 0.991 0.684 Cs
0.687 0.466 0.029 Cs
0.675 0.991 0.999 Cs
0.550 0.277 0.561 Cs
0.345 0.345 0.268 Cs
0.466 0.687 0.029 Cs
0.998 0.700 0.441 Cs
0.277 0.277 0.732 Cs
0.005 0.005 0.005 Cs
0.015 0.181 0.359 Pb
0.181 0.015 0.359 Pb
0.635 0.794 0.630 Pb
0.817 0.216 0.850 Pb
0.356 0.988 0.167 Pb
0.880 0.880 0.242 Pb
0.216 0.817 0.850 Pb
0.110 0.353 0.971 Pb
0.794 0.635 0.630 Pb
0.353 0.110 0.971 Pb
0.635 0.635 0.788 Pb
0.988 0.356 0.167 Pb
0.633 0.633 0.346 Hg
```

## Properties
The value obtained for the energy of formation from the pure elements is -4.10 eV/f.u. The uncorrected energy is -62.6 eV for the cell shown. The calculation puts the calculated density at 5.5 g cm⁻³. The space group is Cm, No. 8. As for the calculated volume: 1441 Å³ per cell.

VASP calculation (PBE-GGA) on a geometry-optimized CsHg9Pb2 structure.

```
CsHg9Pb2
1.0
-5.979 -2.328 -3.076
-4.855 -6.493 4.360
-10.172 -2.691 7.301
Hg Pb Cs
9 2 1
Direct
0.631 0.908 0.917 Hg
0.515 0.774 0.802 Hg
0.500 0.500 0.500 Hg
0.485 0.226 0.198 Hg
0.989 0.312 0.244 Hg
0.982 0.275 0.533 Hg
0.011 0.688 0.756 Hg
0.369 0.092 0.083 Hg
0.018 0.725 0.467 Hg
0.477 0.325 0.386 Pb
0.523 0.675 0.614 Pb
0.000 0.000 0.000 Cs
```

## Properties
The value obtained for the energy of formation from the pure elements is -0.76 eV/f.u. The uncorrected energy is -11.7 eV for the cell shown. The calculation puts the calculated density at 9.8 g cm⁻³. The space group is P-1, No. 2. As for the calculated volume: 397 Å³ per cell.

VASP calculation (PBE-GGA) on a geometry-optimized Cs3Hg4Pb2 structure.

```
Cs3Hg4Pb2
1.0
5.088 0.001 -0.003
2.543 6.920 0.746
2.540 3.725 11.314
Hg Cs Pb
4 3 2
Direct
0.911 0.541 0.639 Hg
0.277 0.372 0.074 Hg
0.089 0.459 0.361 Hg
0.723 0.628 0.926 Hg
0.000 0.000 0.000 Cs
0.381 0.860 0.378 Cs
0.619 0.140 0.622 Cs
0.305 0.611 0.783 Pb
0.695 0.389 0.217 Pb
```

## Properties
The value obtained for the energy of formation from the pure elements is -1.85 eV/f.u. The uncorrected energy is -13.0 eV for the cell shown. The calculation puts the calculated density at 7.0 g cm⁻³. The space group is P-1, No. 2. As for the calculated volume: 384 Å³ per cell.

VASP calculation (PBE-GGA) on a geometry-optimized Cs2HgPb2 structure.

```
Cs2HgPb2
1.0
-3.159 1.885 -6.462
5.958 -2.539 -3.653
-0.841 -5.140 -5.367
Cs Pb Hg
2 2 1
Direct
0.250 0.750 0.500 Cs
0.750 0.250 0.500 Cs
0.629 0.629 0.742 Pb
0.371 0.371 0.258 Pb
0.000 0.000 0.000 Hg
```

## Properties
For the relative energy among the computed polymorphs, the calculation gives 0.114 eV/atom. The value obtained for the energy of formation from the pure elements is -0.02 eV/f.u. The uncorrected energy is -9.4 eV for the cell shown. The calculation puts the calculated density at 5.0 g cm⁻³. The space group is I4/mmm, No. 139. As for the calculated volume: 294 Å³ per cell.

VASP calculation (PBE-GGA) on a geometry-optimized Cs2HgPb structure.

```
Cs2HgPb
1.0
5.225 0.971 0.698
3.910 8.040 0.661
3.985 3.550 6.280
Cs Pb Hg
2 1 1
Direct
0.227 0.422 0.727 Cs
0.027 0.824 0.025 Cs
0.917 0.039 0.418 Pb
0.329 0.215 0.330 Hg
```

## Properties
The value obtained for the energy of formation from the pure elements is -0.72 eV/f.u. The uncorrected energy is -6.4 eV for the cell shown. The calculation puts the calculated density at 5.1 g cm⁻³. The space group is P1, No. 1. As for the calculated volume: 218 Å³ per cell.

VASP calculation (PBE-GGA) on a geometry-optimized Cs2HgPb structure.

```
Cs2HgPb
1.0
-3.018 -2.927 0.189
0.491 -3.372 2.470
-6.534 4.415 10.910
Hg Pb Cs
1 1 2
Direct
0.500 0.500 0.500 Hg
0.000 0.000 0.000 Pb
0.094 0.094 0.717 Cs
0.906 0.906 0.283 Cs
```

## Properties
The value obtained for the energy of formation from the pure elements is 0.72 eV/f.u. The uncorrected energy is -5.0 eV for the cell shown. The calculation puts the calculated density at 5.5 g cm⁻³. The space group is R-3m, No. 166. As for the calculated volume: 203 Å³ per cell.

VASP calculation (PBE-GGA) on a geometry-optimized CsHg3Pb structure.

```
CsHg3Pb
1.0
-4.987 2.119 -1.703
-2.604 -4.729 1.767
3.033 3.648 5.116
Hg Cs Pb
3 1 1
Direct
0.730 0.730 0.460 Hg
0.606 0.106 0.211 Hg
0.106 0.606 0.211 Hg
0.365 0.365 0.730 Cs
0.001 0.001 0.002 Pb
```

## Properties
For the relative energy among the computed polymorphs, the calculation gives 0.000 eV/atom. The value obtained for the energy of formation from the pure elements is -0.81 eV/f.u. The uncorrected energy is -6.3 eV for the cell shown. The calculation puts the calculated density at 8.5 g cm⁻³. The space group is Fmm2, No. 42. As for the calculated volume: 184 Å³ per cell.

VASP calculation (PBE-GGA) on a geometry-optimized CsHgPb2 structure.

```
CsHgPb2
1.0
5.016 0.000 0.000
0.000 9.346 0.000
0.000 0.000 13.894
Hg Pb Cs
4 8 4
Direct
0.750 0.160 0.687 Hg
0.250 0.340 0.187 Hg
0.750 0.660 0.813 Hg
0.250 0.840 0.313 Hg
0.250 0.505 0.392 Pb
0.750 0.495 0.608 Pb
0.250 0.784 0.931 Pb
0.250 0.005 0.108 Pb
0.250 0.284 0.569 Pb
0.750 0.216 0.069 Pb
0.750 0.995 0.892 Pb
0.750 0.716 0.431 Pb
0.250 0.347 0.864 Cs
0.750 0.153 0.364 Cs
0.250 0.847 0.636 Cs
0.750 0.653 0.136 Cs
```

## Properties
The value obtained for the energy of formation from the pure elements is -0.60 eV/f.u. The uncorrected energy is -36.7 eV for the cell shown. The calculation puts the calculated density at 7.6 g cm⁻³. The space group is Pnma, No. 62. As for the calculated volume: 651 Å³ per cell.

VASP calculation (PBE-GGA) on a geometry-optimized Cs2Hg2Pb structure.

```
Cs2Hg2Pb
1.0
7.375 0.000 0.000
-3.688 6.167 0.217
0.000 -2.491 9.377
Cs Hg Pb
4 4 2
Direct
0.771 0.303 0.653 Cs
0.229 0.697 0.347 Cs
0.532 0.303 0.153 Cs
0.468 0.697 0.847 Cs
0.751 0.747 0.505 Hg
0.996 0.747 0.005 Hg
0.004 0.253 0.995 Hg
0.249 0.253 0.495 Hg
0.131 0.000 0.750 Pb
0.869 0.000 0.250 Pb
```

## Properties
For the relative energy among the computed polymorphs, the calculation gives 0.004 eV/atom. The value obtained for the energy of formation from the pure elements is -1.09 eV/f.u. The uncorrected energy is -14.2 eV for the cell shown. The calculation puts the calculated density at 6.7 g cm⁻³. The space group is C2/c, No. 15. As for the calculated volume: 430 Å³ per cell.

VASP calculation (PBE-GGA) on a geometry-optimized Cs2HgPb2 structure.

```
Cs2HgPb2
1.0
11.519 0.000 0.000
0.000 11.519 0.000
0.000 0.000 3.761
Cs Hg Pb
4 2 4
Direct
0.797 0.703 0.000 Cs
0.203 0.297 0.000 Cs
0.703 0.203 0.000 Cs
0.297 0.797 0.000 Cs
0.500 0.500 0.000 Hg
0.000 0.000 0.000 Hg
0.091 0.591 0.500 Pb
0.909 0.409 0.500 Pb
0.409 0.091 0.500 Pb
0.591 0.909 0.500 Pb
```

## Properties
For the relative energy among the computed polymorphs, the calculation gives 0.105 eV/atom. The value obtained for the energy of formation from the pure elements is -0.07 eV/f.u. The uncorrected energy is -19.0 eV for the cell shown. The calculation puts the calculated density at 5.9 g cm⁻³. The space group is P4/mbm, No. 127. As for the calculated volume: 499 Å³ per cell.